Entry from the Alexandria database: an optimized crystal structure of MgZr5 (PBE).

Cell lengths 7.158, 7.158, 4.469 Å; angles 90.00, 90.00, 143.32 degrees
Fractional positions:
Mg1 0.000 0.000 0.000
Zr1 0.165 0.835 0.500
Zr2 0.333 0.667 0.000
Zr3 0.500 0.500 0.500
Zr4 0.667 0.333 0.000
Zr5 0.835 0.165 0.500

Its symmetry is Cmmm. The total energy comes out at -7.363 eV per atom. The calculation puts the magnetic moment at 0.0 μB/f.u. For the formation energy, the calculation gives 0.03 eV/atom. As for the crystal system: orthorhombic.